A) A plane-wave DFT calculation with PBE-GGA was carried out for a relaxed CdCu2HPt crystal.

Geometry as POSCAR:
```
CdCu2HPt
1.0
3.869 0.000 0.000
0.000 3.869 0.000
0.000 0.000 4.210
H Pt Cu Cd
1 1 2 1
Direct
0.000 0.000 0.000
0.500 0.500 0.500
0.500 0.000 0.000
0.000 0.500 0.000
0.000 0.000 0.500
```

Calculated density   11.479 Mg/m³
Symmetry   P4/mmm, No. 123
Volume   12.60 Å³/atom

=====

B) A plane-wave DFT calculation with PBE-GGA was carried out for a relaxed CdCu2HPt crystal.

Geometry as POSCAR:
```
CdCu2HPt
1.0
4.078 0.000 0.000
0.000 4.078 0.000
0.000 0.000 3.771
Cu Pt H Cd
2 1 1 1
Direct
0.500 0.000 0.000
0.000 0.500 0.000
0.000 0.000 0.500
0.000 0.000 0.000
0.500 0.500 0.500
```

Calculated density   11.534 Mg/m³
Symmetry   P4/mmm, No. 123
Volume   12.54 Å³/atom

=====

Most stable structure - B); separation to the second - 0.121 eV/atom.

=====

A) A plane-wave DFT calculation with PBE-GGA was carried out for a relaxed Cd2CuHPt crystal.

Geometry as POSCAR:
```
Cd2CuHPt
1.0
4.634 0.000 0.000
0.000 4.634 0.000
0.000 0.000 3.489
Cu Pt Cd H
1 1 2 1
Direct
0.500 0.500 0.500
0.000 0.000 0.500
0.000 0.500 0.000
0.500 0.000 0.000
0.000 0.000 0.000
```

Calculated density   10.735 Mg/m³
Symmetry   P4/mmm, No. 123
Volume   14.99 Å³/atom

=====

B) A plane-wave DFT calculation with PBE-GGA was carried out for a relaxed Cd2CuHPt crystal.

Geometry as POSCAR:
```
Cd2CuHPt
1.0
-3.367 0.129 3.337
3.333 -0.179 3.369
0.148 3.237 0.025
Pt H Cd Cu
1 1 2 1
Direct
0.500 0.500 0.500
0.000 0.000 0.000
0.000 0.500 0.000
0.500 0.000 0.000
0.000 0.000 0.500
```

Calculated density   11.039 Mg/m³
Symmetry   P4/mmm, No. 123
Volume   14.58 Å³/atom

=====

Most stable structure - B); separation to the second - 0.042 eV/atom.

=====

A) A plane-wave DFT calculation with PBE-GGA was carried out for a relaxed CdCuHRh2 crystal.

Geometry as POSCAR:
```
CdCuHRh2
1.0
-3.777 -0.955 -0.040
0.765 -3.118 2.207
-0.620 2.306 3.472
Cd Rh H Cu
1 2 1 1
Direct
0.000 0.000 0.500
0.000 0.500 0.000
0.500 0.000 0.000
0.000 0.000 0.000
0.500 0.500 0.500
```

Calculated density   9.938 Mg/m³
Symmetry   P4/mmm, No. 123
Volume   12.79 Å³/atom

=====

B) A plane-wave DFT calculation with PBE-GGA was carried out for a relaxed CdCuHRh2 crystal.

Geometry as POSCAR:
```
CdCuHRh2
1.0
-2.896 -1.562 2.271
1.150 -3.678 -1.064
2.462 -0.116 3.061
Rh Cu Cd H
2 1 1 1
Direct
0.000 0.500 0.000
0.500 0.000 0.000
0.000 0.000 0.500
0.500 0.500 0.500
0.000 0.000 0.000
```

Calculated density   10.118 Mg/m³
Symmetry   P4/mmm, No. 123
Volume   12.56 Å³/atom

=====

Most stable structure - B); separation to the second - 0.106 eV/atom.

=====

A) A plane-wave DFT calculation with PBE-GGA was carried out for a relaxed HfCdIn2Cu crystal.

Geometry as POSCAR:
```
HfCdIn2Cu
1.0
5.693 0.000 0.000
0.000 4.898 0.000
0.000 0.000 5.693
Cu In Cd Hf
1 2 1 1
Direct
0.000 0.500 0.000
0.500 0.000 0.000
0.000 0.000 0.500
0.500 0.500 0.500
0.000 0.000 0.000
```

Calculated density   6.111 Mg/m³
Symmetry   P4/mmm, No. 123
Volume   31.75 Å³/atom

=====

B) A plane-wave DFT calculation with PBE-GGA was carried out for a relaxed HfCdIn2Cu crystal.

Geometry as POSCAR:
```
HfCdIn2Cu
1.0
-0.179 0.430 4.856
-1.404 -4.835 0.376
4.682 -1.337 0.291
Cd Cu In Hf
1 1 2 1
Direct
0.500 0.500 0.500
0.000 0.000 0.000
0.500 0.000 0.000
0.000 0.000 0.500
0.000 0.500 0.000
```

Calculated density   8.073 Mg/m³
Symmetry   P4/mmm, No. 123
Volume   24.03 Å³/atom

=====

Most stable structure - B); separation to the second - 0.491 eV/atom.

=====

A) A plane-wave DFT calculation with PBE-GGA was carried out for a relaxed CdCuHg3 crystal.

Geometry as POSCAR:
```
CdCuHg3
1.0
5.209 0.000 0.000
0.000 5.209 0.000
0.000 0.000 5.209
Cd Hg Cu
1 3 1
Direct
0.500 0.500 0.500
0.500 0.000 0.000
0.000 0.000 0.500
0.000 0.500 0.000
0.000 0.000 0.000
```

Calculated density   9.137 Mg/m³
Symmetry   Pm-3m, No. 221
Volume   28.27 Å³/atom

=====

B) A plane-wave DFT calculation with PBE-GGA was carried out for a relaxed CdCuHg3 crystal.

Geometry as POSCAR:
```
CdCuHg3
1.0
5.566 0.000 0.000
0.000 5.566 0.000
0.000 0.000 5.566
Hg Cd Cu
3 1 1
Direct
0.000 0.500 0.000
0.500 0.000 0.000
0.000 0.000 0.500
0.000 0.000 0.000
0.500 0.500 0.500
```

Calculated density   7.490 Mg/m³
Symmetry   Pm-3m, No. 221
Volume   34.48 Å³/atom

=====

Most stable structure - A); separation to the second - 0.427 eV/atom.

=====

A) A plane-wave DFT calculation with PBE-GGA was carried out for a relaxed CdIn2CuHg crystal.

Geometry as POSCAR:
```
CdIn2CuHg
1.0
-1.075 -4.937 0.447
4.942 -1.103 -0.290
0.384 0.379 5.109
Hg Cu In Cd
1 1 2 1
Direct
0.500 0.500 0.500
0.000 0.000 0.000
0.000 0.500 0.000
0.500 0.000 0.000
0.000 0.000 0.500
```

Calculated density   7.616 Mg/m³
Symmetry   P4/mmm, No. 123
Volume   26.43 Å³/atom

=====

B) A plane-wave DFT calculation with PBE-GGA was carried out for a relaxed CdIn2CuHg crystal.

Geometry as POSCAR:
```
CdIn2CuHg
1.0
-5.008 -0.546 0.801
-0.741 -0.560 -5.015
0.628 -5.072 0.474
Cu In Hg Cd
1 2 1 1
Direct
0.000 0.000 0.000
0.000 0.500 0.000
0.500 0.000 0.000
0.000 0.000 0.500
0.500 0.500 0.500
```

Calculated density   7.539 Mg/m³
Symmetry   P4/mmm, No. 123
Volume   26.70 Å³/atom

=====

Most stable structure - A); separation to the second - 0.052 eV/atom.

=====

A) A plane-wave DFT calculation with PBE-GGA was carried out for a relaxed TlCdCuHg2 crystal.

Geometry as POSCAR:
```
TlCdCuHg2
1.0
-2.997 3.870 1.645
-2.476 0.008 -4.531
-3.488 -3.509 1.900
Tl Cu Hg Cd
1 1 2 1
Direct
0.000 0.000 0.500
0.000 0.000 0.000
0.000 0.500 0.000
0.500 0.000 0.000
0.500 0.500 0.500
```

Calculated density   9.183 Mg/m³
Symmetry   P4/mmm, No. 123
Volume   28.26 Å³/atom

=====

B) A plane-wave DFT calculation with PBE-GGA was carried out for a relaxed TlCdCuHg2 crystal.

Geometry as POSCAR:
```
TlCdCuHg2
1.0
5.145 0.000 0.000
0.000 5.145 0.000
0.000 0.000 5.114
Hg Cd Cu Tl
2 1 1 1
Direct
0.000 0.500 0.000
0.500 0.000 0.000
0.000 0.000 0.500
0.000 0.000 0.000
0.500 0.500 0.500
```

Calculated density   9.587 Mg/m³
Symmetry   P4/mmm, No. 123
Volume   27.07 Å³/atom

=====

Most stable structure - B); separation to the second - 0.057 eV/atom.

=====

A) A plane-wave DFT calculation with PBE-GGA was carried out for a relaxed TlCd2CuHg crystal.

Geometry as POSCAR:
```
TlCd2CuHg
1.0
-1.572 -0.060 4.857
1.295 -4.925 0.358
4.678 1.341 1.531
Cd Cu Hg Tl
2 1 1 1
Direct
0.500 0.000 0.000
0.000 0.500 0.000
0.000 0.000 0.000
0.000 0.000 0.500
0.500 0.500 0.500
```

Calculated density   8.659 Mg/m³
Symmetry   P4/mmm, No. 123
Volume   26.59 Å³/atom

=====

B) A plane-wave DFT calculation with PBE-GGA was carried out for a relaxed TlCd2CuHg crystal.

Geometry as POSCAR:
```
TlCd2CuHg
1.0
-5.059 0.535 0.739
-0.047 -4.310 2.801
0.918 2.769 4.277
Cu Tl Hg Cd
1 1 1 2
Direct
0.000 0.000 0.000
0.000 0.000 0.500
0.500 0.500 0.500
0.500 0.000 0.000
0.000 0.500 0.000
```

Calculated density   8.414 Mg/m³
Symmetry   P4/mmm, No. 123
Volume   27.37 Å³/atom

=====

Most stable structure - A); separation to the second - 0.019 eV/atom.